3
Lattice="-0.8825 2.8751 2.1510 -0.2328 -2.2562 2.9202 5.3706 0.4448 -1.5692" Properties=species:S:1:pos:R:3 comment="HfNpPa, relaxed, DFT PBE-GGA" e_tot_ry_per_atom=-0.7704 formation_enthalpy_0k_mev_per_atom=315 sg="I4mm (107)" magmom_total_mub_per_atom=1.0257 de_polymorph_mev_per_atom=48 pbc="T T T"
Pa 3.6551 0.9697 3.3815
Hf 0.5892 0.4892 2.7659
Np 2.8225 0.4424 0.5667

***

8
Lattice="-0.7591 -2.5517 3.6114 2.5136 -2.3882 -1.1592 4.5850 3.2450 3.2566" Properties=species:S:1:pos:R:3 comment="MgBe2Al, relaxed, DFT PBE-GGA" e_tot_ry_per_atom=-0.2310 formation_enthalpy_0k_mev_per_atom=55 sg="Pmma (51)" magmom_total_mub_per_atom=0.0000 de_polymorph_mev_per_atom=6 pbc="T T T"
Be 0.8773 -2.4700 1.2261
Be 3.6284 1.0571 5.6900
Be 1.2568 -1.1941 -0.5796
Be 0.1975 -0.3638 1.1779
Mg 0.7991 -0.9453 3.6805
Mg 3.0268 1.6386 3.1875
Al 3.6466 -1.0136 4.2307
Al 2.6929 -0.6813 1.4781

***

8
Lattice="5.0878 0.0000 0.0000 0.0000 4.9487 1.1314 0.0001 2.6753 11.0959" Properties=species:S:1:pos:R:3 comment="NdSm4Er2Th, relaxed, DFT PBE-GGA" e_tot_ry_per_atom=-0.3667 formation_enthalpy_0k_mev_per_atom=35 sg="Pmmm (47)" magmom_total_mub_per_atom=0.0000 pbc="T T T"
Th 0.0000 3.8120 6.1137
Sm 5.0878 1.8988 3.0895
Sm 2.5440 4.3698 3.6666
Sm 2.5440 3.2542 8.5607
Sm 0.0001 5.7251 9.1378
Er 0.0001 2.6753 11.0959
Er 2.5440 1.3377 5.5479
Nd 2.5439 2.4743 0.5657

***

5
Lattice="4.9403 0.0000 0.0000 0.0000 4.9403 0.0000 0.0000 0.0000 4.9403" Properties=species:S:1:pos:R:3 comment="Ca3HS, relaxed, DFT PBE-GGA" e_tot_ry_per_atom=-0.2245 sg="Pm-3m (221)" magmom_total_mub_per_atom=0.0000 de_polymorph_mev_per_atom=0 pbc="T T T"
H 0.0000 0.0000 0.0000
S 2.4701 2.4701 2.4701
Ca 0.0000 0.0000 2.4701
Ca 2.4701 0.0000 0.0000
Ca 0.0000 2.4701 0.0000

***

18
Lattice="1.1530 6.4644 6.4778 6.7404 -0.2804 6.8141 5.0525 8.0595 -1.2081" Properties=species:S:1:pos:R:3 comment="Ho2TmTh6, relaxed, DFT PBE-GGA" e_tot_ry_per_atom=-0.4656 formation_enthalpy_0k_mev_per_atom=126 sg="C2/c (15)" magmom_total_mub_per_atom=0.0000 de_polymorph_mev_per_atom=0 pbc="T T T"
Ho 10.6705 13.4596 9.5972
Ho 10.5198 8.1233 8.3822
Ho 2.2754 0.7840 2.4867
Ho 2.4261 6.1203 3.7017
Tm 5.9731 6.5513 3.4167
Tm 6.9728 7.6923 8.6672
Th 3.7830 3.1027 4.5447
Th 9.1629 11.1409 7.5392
Th 4.4688 4.2434 1.3622
Th 3.9407 8.4043 5.7930
Th 7.4829 8.8316 5.4979
Th 7.6602 3.5185 8.4591
Th 6.9669 13.0253 5.6624
Th 5.4630 5.4120 6.5860
Th 5.9790 1.2183 6.4215
Th 5.2857 10.7251 3.6249
Th 9.0052 5.8393 6.2909
Th 8.4771 10.0002 10.7218

***

18
Lattice="5.6788 0.0000 0.0000 -2.8394 10.8976 0.0000 0.0000 0.0000 9.4628" Properties=species:S:1:pos:R:3 comment="TbPm5DySc2, relaxed, DFT PBE-GGA" e_tot_ry_per_atom=-0.3608 formation_enthalpy_0k_mev_per_atom=163 sg="Cmc2_1 (36)" magmom_total_mub_per_atom=0.0000 pbc="T T T"
Pm 0.0000 5.8181 3.0976
Pm 0.0000 0.2532 0.0936
Pm 2.8394 0.7114 2.3472
Pm 0.0000 6.6203 6.7899
Pm 0.0000 8.5398 0.4395
Pm 2.8394 10.6444 4.8250
Pm 2.8394 4.2773 2.0585
Pm 2.8394 5.0795 7.8290
Pm 0.0000 10.1862 7.0786
Pm 2.8394 2.3578 5.1709
Sc 2.8394 8.0112 1.9574
Sc 0.0000 2.8864 6.6887
Sc 0.0000 2.4955 3.1157
Sc 2.8394 8.4022 7.8471
Dy 0.0000 8.7439 3.9725
Dy 2.8394 2.1538 8.7038
Tb 0.0000 3.9934 0.1779
Tb 2.8394 6.9042 4.9093

***

4
Lattice="-1.1068 1.5059 -2.5275 -0.7728 -1.6192 -2.5810 -10.5845 -1.1654 1.9860" Properties=species:S:1:pos:R:3 comment="GdCd2Pt, relaxed, DFT PBE-GGA" e_tot_ry_per_atom=-0.3963 formation_enthalpy_0k_mev_per_atom=96 sg="R-3m (166)" magmom_total_mub_per_atom=1.8205 pbc="T T T"
Pt -6.2320 -0.6394 -1.5612
Cd -7.6541 -0.8335 0.9005
Cd -4.8100 -0.4452 -4.0229
Gd 0.0000 0.0000 0.0000

***

4
Lattice="-0.4220 -2.6162 0.7678 1.2771 0.4969 2.3947 -6.8201 2.0431 3.2133" Properties=species:S:1:pos:R:3 comment="FeTc2Au, relaxed, DFT PBE-GGA" e_tot_ry_per_atom=-0.5824 formation_enthalpy_0k_mev_per_atom=194 sg="P4mm (99)" magmom_total_mub_per_atom=0.6206 de_polymorph_mev_per_atom=0 pbc="T T T"
Fe -4.7850 0.5018 4.0371
Tc -6.8168 2.0421 3.2118
Tc -1.1229 -0.5952 2.3117
Au -3.4704 1.0396 1.6351

***

4
Lattice="-0.8035 -3.4286 -3.3815 2.7283 -3.1491 2.5446 -2.2719 -0.8421 1.3937" Properties=species:S:1:pos:R:3 comment="AlCdW2, relaxed, DFT PBE-GGA" e_tot_ry_per_atom=-0.5149 formation_enthalpy_0k_mev_per_atom=635 sg="P4/mmm (123)" magmom_total_mub_per_atom=0.0000 de_polymorph_mev_per_atom=385 pbc="T T T"
W 0.0000 0.0000 0.0000
W 0.9624 -3.2888 -0.4184
Al -1.5377 -2.1353 -0.9939
Cd 0.2282 -1.9956 1.9691

***

13
Lattice="4.6996 0.0154 1.9579 2.3178 6.2721 0.9656 -0.0626 0.0077 6.7695" Properties=species:S:1:pos:R:3 comment="DyZn11Ni, relaxed, DFT PBE-GGA" e_tot_ry_per_atom=-0.1533 formation_enthalpy_0k_mev_per_atom=-208 sg="C2/m (12)" magmom_total_mub_per_atom=0.0000 pbc="T T T"
Zn 3.7853 2.2569 3.9161
Zn 5.0966 4.9100 7.4689
Zn 1.5713 4.0305 2.9937
Zn -0.0313 0.0038 3.3847
Zn 2.3185 0.0115 4.3637
Zn 3.1694 4.0382 5.7769
Zn 2.8250 1.3928 6.5225
Zn 4.1298 4.9023 3.1705
Zn 5.3835 2.2646 6.6993
Zn 1.1589 3.1360 0.4828
Zn 1.8582 1.3851 2.2241
Ni 3.5087 3.1437 1.4618
Dy 0.0000 0.0000 0.0000

***

3
Lattice="2.7275 0.0000 0.0000 -1.3638 2.3621 0.0000 0.0000 0.0000 6.5458" Properties=species:S:1:pos:R:3 comment="FeTcPt, relaxed, DFT PBE-GGA" e_tot_ry_per_atom=-0.6081 formation_enthalpy_0k_mev_per_atom=17 sg="P3m1 (156)" magmom_total_mub_per_atom=0.6320 de_polymorph_mev_per_atom=81 pbc="T T T"
Fe 0.0000 0.0000 6.4967
Tc 0.0000 1.5747 4.4721
Pt 1.3638 0.7874 2.1228

***

Number 8 is which compound? FeTc2Au